Crystalline Mg2CrIrC at its relaxed geometry, computed with GGA-PBE.

```
5
Lattice="-3.9531 0.8018 2.9446 0.4238 -3.2272 1.4477 2.9934 1.9568 3.4858" Properties=species:S:1:pos:R:3 pbc="T T T"
Ir -0.2679 -0.2343 3.9390
Mg 1.4967 0.9784 1.7429
Mg -1.9765 0.4009 1.4723
Cr 0.0000 0.0000 0.0000
C 0.2119 -1.6136 0.7238
```

Values from the calculation:
Electronic total energy, eV/atom: -4.9599
Energy of formation, eV/f.u.: 6.1
Magnetic moment, μB per cell: 3.13

---

Crystalline KPmBeO3 at its relaxed geometry, computed with GGA-PBE.

```
12
Lattice="3.4853 0.0000 0.0000 0.0000 7.7469 0.5276 0.0000 -2.3570 7.0753" Properties=species:S:1:pos:R:3 pbc="T T T"
O 2.6140 6.2633 1.7545
O 2.6140 3.1167 1.2667
O 0.8713 5.5988 3.8246
O 0.8713 -0.8735 5.8484
O 2.6140 -0.2090 3.7783
O 0.8713 2.2732 6.3362
Be 0.8713 -0.9488 4.3029
Be 2.6140 6.3387 3.3000
K 2.6140 4.5028 6.0389
K 0.8713 0.8871 1.5640
Pm 0.8713 4.6452 1.5925
Pm 2.6140 0.7447 6.0104
```

Values from the calculation:
Formation energy from raw total energies, meV/atom: -2576
Electronic total energy, eV/atom: -6.6506
Magnetic moment, μB per cell: 0.00

---

Crystalline Er2AlZnGa at its relaxed geometry, computed with GGA-PBE.

```
10
Lattice="4.3799 0.0000 0.0000 0.0000 7.1002 0.3813 0.0000 -2.5411 6.7925" Properties=species:S:1:pos:R:3 pbc="T T T"
Ga 1.0950 2.2824 4.9105
Ga 3.2849 2.2767 2.2633
Er 3.2849 4.5691 4.5369
Er 3.2849 4.7720 0.6628
Er 1.0950 -0.0101 2.6369
Er 1.0950 -0.2129 6.5109
Al 3.2849 0.7797 4.6119
Al 1.0950 3.7794 2.5618
Zn 3.2849 0.4846 0.4870
Zn 1.0950 4.0745 6.6868
```

Values from the calculation:
Electronic total energy, eV/atom: -3.8445
Energy of formation, eV/f.u.: -2.1
Magnetic moment, μB per cell: 0.00

---

Crystalline AcTbPr3Y at its relaxed geometry, computed with GGA-PBE.

```
12
Lattice="-2.4680 -2.0290 4.1892 3.2716 -7.4287 -1.6705 5.9434 6.5906 6.6934" Properties=species:S:1:pos:R:3 pbc="T T T"
Y 3.5443 2.6604 5.0330
Y 3.2027 -5.5275 4.1792
Pr 6.1319 0.1178 5.3260
Pr 0.6151 -2.9849 3.8862
Pr 5.5302 4.8243 7.2510
Pr 1.2168 -7.6914 1.9612
Pr 2.6275 -0.7073 6.1748
Pr 4.1195 -2.1598 3.0374
Tb 2.1391 -4.2990 0.8346
Tb 4.6079 1.4319 8.3776
Ac 5.2325 -3.3857 6.4122
Ac 1.5146 0.5186 2.7999
```

Values from the calculation:
Electronic total energy, eV/atom: -4.8900
Energy of formation, eV/f.u.: 0.2
Magnetic moment, μB per cell: 0.00

---

Crystalline Ho2AlCd at its relaxed geometry, computed with GGA-PBE.

```
4
Lattice="-0.1962 -1.9897 3.0168 0.5495 -3.0026 -1.9446 7.3739 0.7280 0.9597" Properties=species:S:1:pos:R:3 pbc="T T T"
Al 0.1767 -2.4961 0.5361
Cd 3.8636 -2.1321 1.0160
Ho 1.7589 0.1737 0.2289
Ho 5.6150 0.5544 0.7308
```

Values from the calculation:
Electronic total energy, eV/atom: -3.8185
Energy of formation, eV/f.u.: -1.5
Magnetic moment, μB per cell: 0.00

---

Crystalline CsSb4Au9 at its relaxed geometry, computed with GGA-PBE.

```
28
Lattice="-4.4088 1.4507 8.5839 -8.2025 2.4366 -4.6913 4.2908 -8.5643 -1.8622" Properties=species:S:1:pos:R:3 pbc="T T T"
Au -1.9558 -3.0638 -3.2767
Au -7.0997 0.6065 0.7089
Au -2.0435 -5.2618 -1.3659
Au -1.2207 -5.2834 1.3215
Au -6.2769 0.5848 3.3963
Au -0.0590 -3.5568 3.3609
Au -1.8358 -2.9879 5.5801
Au -3.6830 -0.7646 4.6039
Au -4.6151 -3.8275 4.6428
Au -5.1997 0.3049 7.1658
Au -3.7053 -0.8495 -2.6123
Au -0.0765 -1.5236 1.2737
Au -5.6071 -1.9171 -0.4789
Au -2.7133 -2.7598 2.5094
Au -4.6374 -3.9124 -2.5734
Au -3.1207 -4.9818 -5.1353
Au -8.2439 -3.1533 0.7567
Au -6.4847 -1.6891 -3.5497
Sb -5.4479 -1.9302 2.3071
Sb -5.8733 0.8678 -1.8653
Sb 0.3880 -3.7518 -1.2831
Sb 0.8134 -6.5498 2.8893
Sb -2.8725 -2.7468 -0.2767
Sb -9.1338 1.8728 -0.8589
Sb -8.7084 -0.9252 3.3135
Sb -2.4471 -5.5448 3.8957
Cs -9.4584 2.9155 2.9195
Cs -3.1528 0.9718 0.9732
```

Values from the calculation:
Formation energy from raw total energies, meV/atom: -77
Electronic total energy, eV/atom: -3.4227
Magnetic moment, μB per cell: 0.00

---

Crystalline PrAlZn3Au at its relaxed geometry, computed with GGA-PBE.

```
12
Lattice="5.9272 0.0000 0.0000 0.0000 6.2565 0.0000 0.0000 -3.1282 6.5285" Properties=species:S:1:pos:R:3 pbc="T T T"
Zn 2.9636 4.3594 0.0000
Zn 2.9636 1.8971 0.0000
Zn 1.4818 0.0000 1.7117
Zn 0.0000 4.3594 0.0000
Zn 4.4454 3.1282 4.8168
Zn 0.0000 1.8971 0.0000
Au 4.4454 3.1282 2.1127
Au 1.4818 0.0000 4.4158
Pr 1.4818 3.1282 2.6719
Pr 4.4454 0.0000 3.8566
Al 1.4818 3.1282 5.6201
Al 4.4454 0.0000 0.9085
```

Values from the calculation:
Electronic total energy, eV/atom: -2.7856
Energy of formation, eV/f.u.: -1.1
Magnetic moment, μB per cell: 0.00

---

Crystalline PmGa6Rh4 at its relaxed geometry, computed with GGA-PBE.

```
11
Lattice="-1.5526 2.5337 -2.4771 -1.6953 -5.5584 -4.6228 -4.8565 2.1125 5.2049" Properties=species:S:1:pos:R:3 pbc="T T T"
Ga -1.2209 -2.8228 -2.1221
Ga -3.8538 -4.2075 -1.8881
Ga -5.0197 1.8915 2.0600
Ga -3.1725 -1.9739 -0.0305
Ga -5.7285 -0.4324 0.1273
Ga -2.9892 1.0082 -0.1160
Rh -5.0116 -1.9082 -1.8315
Rh -3.8028 -0.4444 1.9290
Rh -2.4510 -0.5615 -2.0590
Rh -3.1136 -2.7339 -3.8658
Pm 0.0000 0.0000 0.0000
```

Values from the calculation:
Electronic total energy, eV/atom: -5.3949
Energy of formation, eV/f.u.: -7.0
Magnetic moment, μB per cell: 0.00

---

Crystalline Dy2MnGa5 at its relaxed geometry, computed with GGA-PBE.

```
8
Lattice="5.9759 0.1125 0.1604 -2.8442 5.2569 -0.1604 -2.8442 -1.9391 4.8888" Properties=species:S:1:pos:R:3 pbc="T T T"
Dy 0.0811 3.5506 1.2341
Dy 0.0811 -0.0473 3.7587
Ga -1.3797 0.8047 1.1468
Ga -2.9053 0.1383 3.5069
Ga -2.9053 3.2507 1.3230
Ga 1.7161 1.0409 1.4834
Ga -1.5508 2.4607 3.5069
Mn -5.2026 3.0344 4.3245
```

Values from the calculation:
Electronic total energy, eV/atom: -4.5735
Energy of formation, eV/f.u.: -3.1
Magnetic moment, μB per cell: 3.21

---

Crystalline PmGa3Pd at its relaxed geometry, computed with GGA-PBE.

```
5
Lattice="3.9907 0.0000 -1.6080 -0.6480 3.9377 -1.6080 0.1472 0.1733 6.1210" Properties=species:S:1:pos:R:3 pbc="T T T"
Ga 0.6387 3.1029 1.5851
Ga 2.9580 1.1341 1.5851
Ga 1.5080 1.7765 3.7425
Pm 0.0043 0.0050 0.0106
Pd 2.1989 2.5903 -0.2988
```

Values from the calculation:
Electronic total energy, eV/atom: -4.5061
Energy of formation, eV/f.u.: -3.5
ΔE to the lowest computed polymorph, meV per atom: 0
Magnetic moment, μB per cell: 0.00

---

Crystalline NbAlV3 at its relaxed geometry, computed with GGA-PBE.

```
10
Lattice="5.1684 0.0000 0.0466 0.0000 5.1114 0.0000 0.0329 0.0000 5.8288" Properties=species:S:1:pos:R:3 pbc="T T T"
V 4.6549 2.5483 4.8135
V 0.5464 2.5631 1.0619
V 0.5464 5.1040 1.0619
V 0.6504 3.8335 3.0216
V 4.6549 0.0074 4.8135
V 4.5509 1.2778 2.8538
Nb 1.9707 1.2778 3.6717
Nb 3.2306 3.8335 2.2037
Al 2.2423 3.8335 5.1280
Al 2.9590 1.2778 0.7474
```

Values from the calculation:
Electronic total energy, eV/atom: -8.1620
Energy of formation, eV/f.u.: 0.4
ΔE to the lowest computed polymorph, meV per atom: 137
Magnetic moment, μB per cell: 0.00